## P
An optimized crystal structure of Tl3NiCl. Source: Alexandria via LeMat-Bulk, functional PBE.

a b c (Å): 5.828 5.828 5.828
angles (deg): 90.00 90.00 90.00
Each line ends with the local moment (μB).
Positions (direct):
Ni 0.500 0.500 0.500  0.79
Tl 0.000 0.500 0.000  -0.02
Tl 0.000 0.000 0.500  -0.02
Tl 0.500 0.000 0.000  -0.02
Cl 0.000 0.000 0.000  0.00

Summary:
D(E_F) (states/eV/f.u.): 3.7

## Q
An optimized crystal structure of Tl3NiCl. Source: Alexandria via LeMat-Bulk, functional PBE.

a b c (Å): 5.151 5.151 5.151
angles (deg): 90.00 90.00 90.00
Positions (direct):
Ni 0.000 0.000 0.000
Tl 0.000 0.500 0.000
Tl 0.000 0.000 0.500
Tl 0.500 0.000 0.000
Cl 0.500 0.500 0.500

Summary:
D(E_F) (states/eV/f.u.): 0.8

Least stable: P

## P
An optimized crystal structure of Tl2NiCl5. Source: Alexandria via LeMat-Bulk, functional PBE.

a b c (Å): 6.852 6.852 6.852
angles (deg): 95.11 117.09 117.09
Each line ends with the local moment (μB).
Positions (direct):
Tl 0.500 0.251 0.751  0.00
Tl 0.500 0.751 0.251  0.00
Ni 0.000 0.014 0.014  0.60
Cl 0.564 0.768 0.768  0.01
Cl 0.000 0.768 0.204  0.01
Cl 0.000 0.204 0.768  0.01
Cl 0.436 0.204 0.204  0.01
Cl 0.000 0.262 0.262  0.17

## Q
An optimized crystal structure of Tl2NiCl5. Source: Alexandria via LeMat-Bulk, functional PBE.

a b c (Å): 4.856 6.889 6.889
angles (deg): 90.00 90.00 90.00
Positions (direct):
Tl 0.500 0.500 0.000
Tl 0.500 0.000 0.500
Ni 0.000 0.000 0.000
Cl 0.000 0.770 0.770
Cl 0.000 0.230 0.770
Cl 0.000 0.770 0.230
Cl 0.500 0.000 0.000
Cl 0.000 0.230 0.230

Summary:
D(E_F) (states/eV/f.u.): 1.3

Least stable: P